Density functional theory data (PBE) for an optimized crystal structure of Zr2SiHg.

abc: 7.6643 7.6643 7.6643
angles: 28.02 28.02 28.02
Fractional positions:
Zr 0.2359 0.2359 0.2359
Zr 0.7641 0.7641 0.7641
Si 0.5000 0.5000 0.5000
Hg 0.0000 0.0000 0.0000

ΔE_f (raw) (meV/atom): -398



Density functional theory data (PBE) for an optimized crystal structure of YTiMo2Se.

abc: 4.7297 4.7297 4.6840
angles: 90.00 90.00 90.00
Fractional positions:
Y 0.0000 0.0000 0.0000
Ti 0.5000 0.5000 0.0000
Mo 0.0000 0.5000 0.5000
Mo 0.5000 0.0000 0.5000
Se 0.5000 0.5000 0.5000

ΔE_f (raw) (meV/atom): 381



Density functional theory data (PBE) for an optimized crystal structure of Ta3Os.

abc: 4.5731 4.5731 4.5731
angles: 60.00 60.00 60.00
Fractional positions:
Ta 0.0000 0.0000 0.0000
Ta 0.2500 0.2500 0.2500
Ta 0.7500 0.7500 0.7500
Os 0.5000 0.5000 0.5000

ΔH_f (0 K) (eV per atom): -0.2653



Density functional theory data (PBE) for an optimized crystal structure of Pr8Co3RhCl4.

abc: 8.9210 8.9210 8.9210
angles: 53.63 53.63 53.63
Fractional positions:
Pr 0.2265 0.7384 0.7384
Pr 0.2334 0.2334 0.2334
Pr 0.2616 0.2616 0.7735
Pr 0.2616 0.7735 0.2616
Pr 0.7384 0.2265 0.7384
Pr 0.7384 0.7384 0.2265
Pr 0.7666 0.7666 0.7666
Pr 0.7735 0.2616 0.2616
Co 0.0000 0.0000 0.5000
Co 0.0000 0.5000 0.0000
Co 0.5000 0.0000 0.0000
Rh 0.5000 0.5000 0.5000
Cl 0.0000 0.0000 0.0000
Cl 0.0000 0.5000 0.5000
Cl 0.5000 0.0000 0.5000
Cl 0.5000 0.5000 0.0000

ΔE_f (raw) (meV/atom): -903



Density functional theory data (PBE) for an optimized crystal structure of Cr4Cl.

abc: 7.2833 7.2833 7.2833
angles: 151.51 151.51 40.73
Fractional positions:
Cr 0.1361 0.1361 0.0000
Cr 0.2500 0.7500 0.5000
Cr 0.7500 0.2500 0.5000
Cr 0.8639 0.8639 0.0000
Cl 0.5000 0.5000 0.0000

ΔE_f (raw) (meV/atom): 686



Density functional theory data (PBE) for an optimized crystal structure of Ac2Sm6Ho.

abc: 9.2912 9.2912 9.2540
angles: 113.18 113.18 65.91
Fractional positions:
Ac 0.0209 0.1688 0.1826
Ac 0.1688 0.0209 0.6826
Ac 0.8312 0.9791 0.3174
Ac 0.9791 0.8312 0.8174
Sm 0.0945 0.5771 0.4213
Sm 0.1720 0.3544 0.0204
Sm 0.3349 0.5010 0.8382
Sm 0.3544 0.1720 0.5204
Sm 0.4229 0.9055 0.0787
Sm 0.4990 0.6651 0.6618
Sm 0.5010 0.3349 0.3382
Sm 0.5771 0.0945 0.9213
Sm 0.6456 0.8280 0.4796
Sm 0.6651 0.4990 0.1618
Sm 0.8280 0.6456 0.9796
Sm 0.9055 0.4229 0.5787
Ho 0.2616 0.7384 0.2500
Ho 0.7384 0.2616 0.7500

ΔH_f (0 K) (eV per atom): 0.0967



Density functional theory data (PBE) for an optimized crystal structure of Np3SbH3.

abc: 8.3041 8.3041 4.1009
angles: 90.00 90.00 120.00
Fractional positions:
Np 0.0667 0.7018 0.2500
Np 0.2982 0.3650 0.2500
Np 0.3650 0.0667 0.7500
Np 0.6350 0.9333 0.2500
Np 0.7018 0.6350 0.7500
Np 0.9333 0.2982 0.7500
Sb 0.3333 0.6667 0.7500
Sb 0.6667 0.3333 0.2500
H 0.0518 0.4145 0.2500
H 0.3626 0.9482 0.2500
H 0.4145 0.3626 0.7500
H 0.5855 0.6374 0.2500
H 0.6374 0.0518 0.7500
H 0.9482 0.5855 0.7500

Calculated total energy (eV for the cell shown): -106.40



Density functional theory data (PBE) for an optimized crystal structure of Yb5In2Sb6.

abc: 7.4305 22.7885 4.5245
angles: 90.00 90.00 90.00
Fractional positions:
Yb 0.0000 0.0000 0.0000
Yb 0.0327 0.4129 0.0000
Yb 0.2246 0.2421 0.0000
Yb 0.2754 0.7421 0.0000
Yb 0.4673 0.9129 0.0000
Yb 0.5000 0.5000 0.0000
Yb 0.5327 0.0871 0.0000
Yb 0.7246 0.2579 0.0000
Yb 0.7754 0.7579 0.0000
Yb 0.9673 0.5871 0.0000
In 0.1668 0.1188 0.5000
In 0.3332 0.6188 0.5000
In 0.6668 0.3812 0.5000
In 0.8332 0.8812 0.5000
Sb 0.0056 0.6896 0.5000
Sb 0.0616 0.8618 0.0000
Sb 0.2079 0.4967 0.5000
Sb 0.2921 0.9967 0.5000
Sb 0.4384 0.3618 0.0000
Sb 0.4944 0.1896 0.5000
Sb 0.5056 0.8104 0.5000
Sb 0.5616 0.6382 0.0000
Sb 0.7079 0.0033 0.5000
Sb 0.7921 0.5033 0.5000
Sb 0.9384 0.1382 0.0000
Sb 0.9944 0.3104 0.5000

ΔE_f (raw) (meV/atom): -769



Density functional theory data (PBE) for an optimized crystal structure of Al3Tl.

abc: 6.2174 6.2174 6.2174
angles: 152.73 130.13 57.76
Fractional positions:
Al 0.0000 0.0000 0.0000
Al 0.2229 0.7229 0.5000
Al 0.7771 0.2771 0.5000
Tl 0.5000 0.5000 0.0000

ΔH_f (0 K) (eV per atom): 0.2634



Density functional theory data (PBE) for an optimized crystal structure of YSc2C.

abc: 9.9771 9.9771 9.9771
angles: 19.75 19.75 19.75
Fractional positions:
Y 0.0000 0.0000 0.0000
Sc 0.4289 0.4289 0.4289
Sc 0.5711 0.5711 0.5711
C 0.5000 0.5000 0.5000

ΔH_f (0 K) (eV per atom): 0.9486



Density functional theory data (PBE) for an optimized crystal structure of PrZn4Cu.

abc: 7.9870 7.9870 6.7368
angles: 90.00 90.00 149.35
Fractional positions:
Pr 0.1234 0.8766 0.7500
Pr 0.8766 0.1234 0.2500
Zn 0.0755 0.9245 0.2500
Zn 0.3215 0.6785 0.5616
Zn 0.3215 0.6785 0.9384
Zn 0.5000 0.5000 0.0000
Zn 0.5000 0.5000 0.5000
Zn 0.6785 0.3215 0.0616
Zn 0.6785 0.3215 0.4384
Zn 0.9245 0.0755 0.7500
Cu 0.2331 0.7669 0.2500
Cu 0.7669 0.2331 0.7500

ΔH_f (0 K) (eV per atom): -0.2172